No. 1
Pr5Sm4Al | PBE-GGA | optimized geometry

Unit cell a=5.9747 b=8.1652 c=8.1652 alpha=82.31 beta=68.54 gamma=68.54
Fractional coordinates of all 10 atoms:
1 Pr 0.1494 0.6307 0.0001
2 Pr 0.7801 0.0001 0.3693
3 Pr 0.1495 0.9999 0.6307
4 Pr 0.7801 0.3693 0.9999
5 Pr 0.6514 0.0000 0.0000
6 Sm 0.4561 0.6864 0.3137
7 Sm 0.4561 0.3136 0.6863
8 Sm 0.7698 0.6863 0.6864
9 Sm 0.1425 0.3137 0.3136
10 Al 0.1753 0.0000 0.0000

=====

No. 2
PrSm3Al | PBE-GGA | optimized geometry

Unit cell a=6.9554 b=10.2753 c=10.2753 alpha=61.71 beta=82.11 gamma=82.11
Fractional coordinates of all 20 atoms:
1 Sm 0.9080 0.9994 0.3378
2 Sm 0.8944 0.6838 0.6918
3 Sm 0.9194 0.3274 0.9883
4 Sm 0.0806 0.6726 0.0117
5 Sm 0.6056 0.3082 0.3162
6 Sm 0.3944 0.6918 0.6838
7 Sm 0.4080 0.3378 0.9994
8 Sm 0.1056 0.3162 0.3082
9 Sm 0.4194 0.9883 0.3274
10 Sm 0.0920 0.0006 0.6622
11 Sm 0.5920 0.6622 0.0006
12 Sm 0.5806 0.0117 0.6726
13 Al 0.8206 0.2799 0.5794
14 Al 0.6794 0.4206 0.7201
15 Al 0.1794 0.7201 0.4206
16 Al 0.3206 0.5794 0.2799
17 Pr 0.7500 0.0412 0.9588
18 Pr 0.7500 0.6406 0.3594
19 Pr 0.2500 0.9588 0.0412
20 Pr 0.2500 0.3594 0.6406

## Properties
ΔE to the lowest computed polymorph, eV/f.u.: 0.46

=====

No. 3
PrSm6Al | PBE-GGA | optimized geometry

Unit cell a=7.0235 b=7.0135 c=7.0964 alpha=60.39 beta=75.40 gamma=59.34
Each line ends with the local moment (μB).
Fractional coordinates of all 8 atoms:
1 Sm 0.7414 0.0613 0.4373  0.01
2 Sm 0.7357 0.7373 0.0000  0.07
3 Sm 0.2643 0.2627 0.0000  0.07
4 Sm 0.2586 0.5014 0.4373  0.01
5 Sm 0.7414 0.4986 0.5627  0.01
6 Sm 0.2586 0.9387 0.5627  0.01
7 Al 0.5000 0.5000 0.0000  0.00
8 Pr 0.0000 0.0000 0.0000  0.12

## Properties
ΔE to the lowest computed polymorph, eV/f.u.: 2.09

=====

No. 4
PrSmAl3 | PBE-GGA | optimized geometry

Unit cell a=4.5872 b=3.7801 c=14.1748 alpha=97.66 beta=90.00 gamma=90.00
Each line ends with the local moment (μB).
Fractional coordinates of all 10 atoms:
1 Al 0.7500 0.3292 0.6585  0.00
2 Al 0.2500 0.3809 0.7618  0.00
3 Al 0.2500 0.4761 0.9522  0.00
4 Al 0.7500 0.6191 0.2382  0.00
5 Al 0.7500 0.5239 0.0478  0.00
6 Al 0.2500 0.6708 0.3415  0.00
7 Sm 0.7500 0.2098 0.4195  0.14
8 Sm 0.2500 0.7902 0.5805  0.14
9 Pr 0.7500 0.9282 0.8563  0.01
10 Pr 0.2500 0.0718 0.1437  0.01

=====

Number 1: electronic total energy -4.534 eV/atom, V 345.02 Å³/cell, E_form 0.12 eV/atom. Number 2: electronic total energy -4.566 eV/atom, V 638.32 Å³/cell, E_form -0.03 eV/atom. Number 3: electronic total energy -4.397 eV/atom, V 261.41 Å³/cell, E_form 0.21 eV/atom. Number 4: electronic total energy -4.572 eV/atom, V 243.60 Å³/cell, E_form -0.43 eV/atom.